Nd2PdPt7: optimized geometry, PBE.

Values from the calculation:
Its crystal system is cubic. The mass density comes out at 12.4 g/cm3. The calculation puts the density of states at the Fermi level at 72.9 states/eV per cell. The calculation puts the calculated formation energy at 2.20 eV/f.u.

abc: 9.796 9.796 9.796
angles: 90.00 90.00 90.00
Space group Fm-3m (No. 225)
Symmetry-distinct sites (fractional):
Nd 0.250 0.250 0.250
Pd 0.000 0.000 0.000
Pt 0.000 0.000 0.249
Pt 0.000 0.000 0.500